DFT (PBE-GGA) results for Li2TbMg9 after structural relaxation.

Calculated formation energy: -0.015 eV/atom
Volume: 551 Å³ per cell
Fermi-level density of states: 5.4 states/eV/f.u.
Theoretical density: 2.36 g cm⁻³

abc: 9.3082 9.3082 9.3082
angles: 99.75 99.75 131.40
Fractional positions:
1 Li 0.0000 0.0000 0.0000
2 Li 0.0000 0.0000 0.5000
3 Li 0.0000 0.5000 0.0000
4 Li 0.5000 0.0000 0.5000
5 Tb 0.3750 0.6250 0.7500
6 Tb 0.6250 0.3750 0.2500
7 Mg 0.1250 0.8750 0.2500
8 Mg 0.1274 0.5563 0.3283
9 Mg 0.1274 0.7991 0.5711
10 Mg 0.2009 0.2720 0.3283
11 Mg 0.2009 0.8726 0.9289
12 Mg 0.2720 0.2009 0.8283
13 Mg 0.2720 0.4437 0.0711
14 Mg 0.4437 0.2720 0.5711
15 Mg 0.4437 0.8726 0.1717
16 Mg 0.5563 0.1274 0.8283
17 Mg 0.5563 0.7280 0.4289
18 Mg 0.7280 0.5563 0.9289
19 Mg 0.7280 0.7991 0.1717
20 Mg 0.7991 0.1274 0.0711
21 Mg 0.7991 0.7280 0.6717
22 Mg 0.8726 0.2009 0.4289
23 Mg 0.8726 0.4437 0.6717
24 Mg 0.8750 0.1250 0.7500